Run 1
Tl2CrHg after structural relaxation. Source: the Alexandria database, functional PBE.

abc: 9.984 9.984 9.984
angles: 19.82 19.82 19.82
Site moments in Bohr magnetons follow the coordinates.
Fractional positions:
1 Cr 0.498 0.498 0.498  3.76
2 Hg 0.760 0.760 0.760  0.02
3 Tl 0.001 0.001 0.001  -0.02
4 Tl 0.240 0.240 0.240  -0.02

crystal system	trigonal
mass density	10.97	g cm⁻³
DOS(E_F)	0.526	states/eV per atom



Run 2
Tl2CrHg after structural relaxation. Source: the Alexandria database, functional PBE.

abc: 7.590 7.590 4.764
angles: 71.72 71.72 23.96
Site moments in Bohr magnetons follow the coordinates.
Fractional positions:
1 Cr 0.250 0.250 0.250  3.60
2 Hg 0.750 0.750 0.750  0.02
3 Tl 0.932 0.932 0.068  0.00
4 Tl 0.568 0.568 0.432  0.00

crystal system	orthorhombic
mass density	10.40	g cm⁻³
DOS(E_F)	0.673	states/eV per atom



Run 3
Tl2CrHg after structural relaxation. Source: the Alexandria database, functional PBE.

abc: 4.985 3.409 6.018
angles: 80.27 90.00 90.00
Site moments in Bohr magnetons follow the coordinates.
Fractional positions:
1 Cr 0.500 0.250 0.250  3.96
2 Hg 0.500 0.750 0.750  0.01
3 Tl 0.000 0.015 0.007  0.00
4 Tl 0.000 0.485 0.493  0.00

crystal system	monoclinic
mass density	10.90	g cm⁻³
DOS(E_F)	0.444	states/eV per atom



Run 4
Tl2CrHg after structural relaxation. Source: the Alexandria database, functional PBE.

abc: 6.517 6.517 6.517
angles: 150.47 132.79 56.67
Site moments in Bohr magnetons follow the coordinates.
Fractional positions:
1 Cr 0.493 0.493 0.000  3.74
2 Hg 0.290 0.790 0.500  0.01
3 Tl 0.004 0.004 0.000  -0.03
4 Tl 0.713 0.213 0.500  0.01

crystal system	orthorhombic
mass density	11.04	g cm⁻³
DOS(E_F)	0.523	states/eV per atom



Which one is most stable, and which one is least stable? run 2 is the most stable of them, while run 3 is the least stable.



Run 1
CrHg2W after structural relaxation. Source: the Alexandria database, functional PBE.

abc: 4.306 2.927 6.440
angles: 62.94 90.00 90.00
Site moments in Bohr magnetons follow the coordinates.
Fractional positions:
1 Cr 0.500 0.750 0.750  3.22
2 Hg 0.000 0.002 0.998  -0.04
3 Hg 0.000 0.498 0.502  -0.04
4 W 0.500 0.250 0.250  -0.73

crystal system	orthorhombic
mass density	14.64	g cm⁻³
DOS(E_F)	0.666	states/eV per atom



Run 2
CrHg2W after structural relaxation. Source: the Alexandria database, functional PBE.

abc: 5.644 5.644 5.644
angles: 148.35 129.11 61.18
Fractional positions:
1 Cr 0.280 0.780 0.500
2 Hg 0.020 0.020 0.000
3 Hg 0.740 0.240 0.500
4 W 0.460 0.460 0.000

crystal system	orthorhombic
mass density	14.59	g cm⁻³
DOS(E_F)	0.462	states/eV per atom



Which one is most stable, and which one is least stable? run 2 is the most stable of them, while run 1 is the least stable.



Run 1
CrHgW after structural relaxation. Source: the Alexandria database, functional PBE.

abc: 4.283 4.283 4.283
angles: 60.00 60.00 60.00
Site moments in Bohr magnetons follow the coordinates.
Fractional positions:
1 Cr 0.250 0.250 0.250  1.10
2 Hg 0.000 0.000 0.000  -0.02
3 W 0.500 0.500 0.500  -0.76

crystal system	cubic
mass density	13.05	g cm⁻³
DOS(E_F)	0.373	states/eV per atom



Run 2
CrHgW after structural relaxation. Source: the Alexandria database, functional PBE.

abc: 4.911 4.911 4.911
angles: 147.94 129.40 61.17
Fractional positions:
1 Cr 0.999 0.999 0.000
2 Hg 0.665 0.665 0.000
3 W 0.336 0.336 0.000

crystal system	orthorhombic
mass density	15.06	g cm⁻³
DOS(E_F)	0.530	states/eV per atom



Run 3
CrHgW after structural relaxation. Source: the Alexandria database, functional PBE.

abc: 3.024 3.024 6.548
angles: 90.00 90.00 120.00
Fractional positions:
1 Cr 0.000 0.000 0.964
2 Hg 0.667 0.333 0.324
3 W 0.333 0.667 0.712

crystal system	trigonal
mass density	13.98	g cm⁻³
DOS(E_F)	0.934	states/eV per atom



Which one is most stable, and which one is least stable? run 3 is the most stable of them, while run 1 is the least stable.



Run 1
CrHgW after structural relaxation. Source: the Alexandria database, functional PBE.

abc: 4.399 4.399 4.399
angles: 60.00 60.00 60.00
Site moments in Bohr magnetons follow the coordinates.
Fractional positions:
1 Cr 0.000 0.000 0.000  1.83
2 Hg 0.500 0.500 0.500  -0.08
3 W 0.250 0.250 0.250  -1.24

crystal system	cubic
mass density	12.04	g cm⁻³
DOS(E_F)	0.825	states/eV per atom



Run 2
CrHgW after structural relaxation. Source: the Alexandria database, functional PBE.

abc: 5.378 5.378 5.378
angles: 145.64 145.64 49.38
Fractional positions:
1 Cr 0.976 0.976 0.000
2 Hg 0.662 0.662 0.000
3 W 0.362 0.362 0.000

crystal system	tetragonal
mass density	14.69	g cm⁻³
DOS(E_F)	0.551	states/eV per atom



Which one is most stable, and which one is least stable? run 2 is the most stable of them, while run 1 is the least stable.



Run 1
CrHgW after structural relaxation. Source: the Alexandria database, functional PBE.

abc: 6.644 6.644 6.644
angles: 155.31 155.31 35.19
Site moments in Bohr magnetons follow the coordinates.
Fractional positions:
1 Cr 0.009 0.009 0.000  2.78
2 Hg 0.337 0.337 0.000  0.00
3 W 0.654 0.654 0.000  -0.05

crystal system	tetragonal
mass density	14.18	g cm⁻³
DOS(E_F)	0.694	states/eV per atom



Run 2
CrHgW after structural relaxation. Source: the Alexandria database, functional PBE.

abc: 4.492 4.492 2.762
angles: 90.00 90.00 120.00
Fractional positions:
1 Cr 0.000 0.000 0.962
2 Hg 0.667 0.333 0.303
3 W 0.333 0.667 0.735

crystal system	trigonal
mass density	15.02	g cm⁻³
DOS(E_F)	0.444	states/eV per atom



Run 3
CrHgW after structural relaxation. Source: the Alexandria database, functional PBE.

abc: 7.279 7.062 2.823
angles: 83.00 74.36 22.64
Fractional positions:
1 Cr 0.986 0.986 0.014
2 Hg 0.662 0.662 0.338
3 W 0.352 0.352 0.648

crystal system	orthorhombic
mass density	14.34	g cm⁻³
DOS(E_F)	0.697	states/eV per atom



Which one is most stable, and which one is least stable? run 3 is the most stable of them, while run 2 is the least stable.



Run 1
YCrHg after structural relaxation. Source: the Alexandria database, functional PBE.

abc: 4.884 4.884 4.884
angles: 60.00 60.00 60.00
Site moments in Bohr magnetons follow the coordinates.
Fractional positions:
1 Cr 0.000 0.000 0.000  3.74
2 Hg 0.500 0.500 0.500  -0.08
3 Y 0.750 0.750 0.750  -0.08

crystal system	cubic
mass density	6.89	g cm⁻³
DOS(E_F)	1.089	states/eV per atom



Run 2
YCrHg after structural relaxation. Source: the Alexandria database, functional PBE.

abc: 4.819 4.819 3.450
angles: 90.00 90.00 120.00
Site moments in Bohr magnetons follow the coordinates.
Fractional positions:
1 Cr 0.000 0.000 0.167  3.58
2 Hg 0.333 0.667 0.167  -0.02
3 Y 0.667 0.333 0.667  -0.05

crystal system	hexagonal
mass density	8.17	g cm⁻³
DOS(E_F)	0.866	states/eV per atom



Run 3
YCrHg after structural relaxation. Source: the Alexandria database, functional PBE.

abc: 3.496 3.496 6.908
angles: 90.00 90.00 120.00
Site moments in Bohr magnetons follow the coordinates.
Fractional positions:
1 Cr 0.000 0.000 0.014  3.63
2 Hg 0.333 0.667 0.314  0.00
3 Y 0.667 0.333 0.672  -0.15

crystal system	trigonal
mass density	7.76	g cm⁻³
DOS(E_F)	0.721	states/eV per atom



Which one is most stable, and which one is least stable? run 2 is the most stable of them, while run 1 is the least stable.



Run 1
YCrHg after structural relaxation. Source: the Alexandria database, functional PBE.

abc: 4.824 4.824 4.824
angles: 60.00 60.00 60.00
Site moments in Bohr magnetons follow the coordinates.
Fractional positions:
1 Cr 0.500 0.500 0.500  3.73
2 Hg 0.750 0.750 0.750  -0.07
3 Y 0.000 0.000 0.000  -0.17

crystal system	cubic
mass density	7.14	g cm⁻³
DOS(E_F)	1.200	states/eV per atom



Run 2
YCrHg after structural relaxation. Source: the Alexandria database, functional PBE.

abc: 5.517 5.517 5.517
angles: 140.27 140.27 57.45
Site moments in Bohr magnetons follow the coordinates.
Fractional positions:
1 Cr 0.993 0.993 0.000  3.68
2 Hg 0.344 0.344 0.000  -0.02
3 Y 0.664 0.664 0.000  0.04

crystal system	tetragonal
mass density	8.33	g cm⁻³
DOS(E_F)	0.686	states/eV per atom



Which one is most stable, and which one is least stable? run 2 is the most stable of them, while run 1 is the least stable.



Run 1
Y2CrHg after structural relaxation. Source: the Alexandria database, functional PBE.

abc: 5.063 5.063 5.063
angles: 60.00 60.00 60.00
Fractional positions:
1 Y 0.250 0.250 0.250
2 Y 0.750 0.750 0.750
3 Cr 0.000 0.000 0.000
4 Hg 0.500 0.500 0.500

crystal system	cubic
mass density	7.79	g cm⁻³
DOS(E_F)	1.921	states/eV per atom



Run 2
Y2CrHg after structural relaxation. Source: the Alexandria database, functional PBE.

abc: 9.327 9.327 9.327
angles: 22.44 22.44 22.44
Site moments in Bohr magnetons follow the coordinates.
Fractional positions:
1 Cr 0.250 0.250 0.250  3.32
2 Hg 0.750 0.750 0.750  0.00
3 Y 0.996 0.996 0.996  -0.06
4 Y 0.504 0.504 0.504  -0.06

crystal system	trigonal
mass density	6.89	g cm⁻³
DOS(E_F)	1.109	states/eV per atom



Run 3
Y2CrHg after structural relaxation. Source: the Alexandria database, functional PBE.

abc: 3.598 3.651 8.312
angles: 63.89 90.00 90.00
Site moments in Bohr magnetons follow the coordinates.
Fractional positions:
1 Cr 0.500 0.250 0.250  3.32
2 Hg 0.500 0.750 0.750  0.00
3 Y 0.000 0.984 0.016  -0.08
4 Y 0.000 0.516 0.484  -0.08

crystal system	orthorhombic
mass density	7.29	g cm⁻³
DOS(E_F)	0.861	states/eV per atom



Which one is most stable, and which one is least stable? run 3 is the most stable of them, while run 1 is the least stable.



Run 1
YCr3Hg after structural relaxation. Source: the Alexandria database, functional PBE.

abc: 4.977 4.977 4.977
angles: 90.00 90.00 90.00
Site moments in Bohr magnetons follow the coordinates.
Fractional positions:
1 Y 0.000 0.000 0.000  -0.06
2 Cr 0.000 0.500 0.000  3.40
3 Cr 0.000 0.000 0.500  3.03
4 Cr 0.500 0.000 0.000  3.76
5 Hg 0.500 0.500 0.500  -0.02

crystal system	cubic
mass density	6.00	g cm⁻³
DOS(E_F)	0.490	states/eV per atom



Run 2
YCr3Hg after structural relaxation. Source: the Alexandria database, functional PBE.

abc: 5.068 5.068 5.068
angles: 90.00 90.00 90.00
Site moments in Bohr magnetons follow the coordinates.
Fractional positions:
1 Y 0.500 0.500 0.500  -0.09
2 Cr 0.000 0.500 0.000  3.79
3 Cr 0.000 0.000 0.500  3.81
4 Cr 0.500 0.000 0.000  3.48
5 Hg 0.000 0.000 0.000  0.10

crystal system	cubic
mass density	5.68	g cm⁻³
DOS(E_F)	1.055	states/eV per atom



Which one is most stable, and which one is least stable? run 2 is the most stable of them, while run 1 is the least stable.



Run 1
YCrHg2 after structural relaxation. Source: the Alexandria database, functional PBE.

abc: 4.498 4.498 10.567
angles: 77.71 77.71 90.00
Site moments in Bohr magnetons follow the coordinates.
Fractional positions:
1 Y 0.000 0.000 0.000  -0.03
2 Y 0.750 0.250 0.500  -0.04
3 Cr 0.500 0.500 0.000  3.74
4 Cr 0.250 0.750 0.500  3.73
5 Hg 0.589 0.125 0.250  0.00
6 Hg 0.161 0.625 0.250  0.00
7 Hg 0.375 0.411 0.750  0.00
8 Hg 0.875 0.839 0.750  0.00

crystal system	tetragonal
mass density	8.83	g cm⁻³
DOS(E_F)	0.730	states/eV per atom



Run 2
YCrHg2 after structural relaxation. Source: the Alexandria database, functional PBE.

abc: 8.713 8.713 8.713
angles: 24.34 24.34 24.34
Site moments in Bohr magnetons follow the coordinates.
Fractional positions:
1 Cr 0.750 0.750 0.750  3.80
2 Hg 0.007 0.007 0.007  0.02
3 Hg 0.493 0.493 0.493  0.02
4 Y 0.250 0.250 0.250  0.00

crystal system	trigonal
mass density	9.12	g cm⁻³
DOS(E_F)	0.688	states/eV per atom



Which one is most stable, and which one is least stable? run 2 is the most stable of them, while run 1 is the least stable.



Run 1
YCrHg2 after structural relaxation. Source: the Alexandria database, functional PBE.

abc: 5.472 5.472 4.503
angles: 65.72 65.72 48.51
Site moments in Bohr magnetons follow the coordinates.
Fractional positions:
1 Cr 0.250 0.250 0.250  3.79
2 Hg 0.000 0.000 0.000  -0.01
3 Hg 0.750 0.750 0.750  0.00
4 Y 0.500 0.500 0.500  0.09

crystal system	tetragonal
mass density	9.99	g cm⁻³
DOS(E_F)	0.616	states/eV per atom



Run 2
YCrHg2 after structural relaxation. Source: the Alexandria database, functional PBE.

abc: 3.563 3.544 7.886
angles: 63.29 90.00 90.00
Site moments in Bohr magnetons follow the coordinates.
Fractional positions:
1 Cr 0.500 0.750 0.750  3.70
2 Hg 0.000 0.030 0.970  -0.02
3 Hg 0.000 0.470 0.530  -0.02
4 Y 0.500 0.250 0.250  -0.14

crystal system	orthorhombic
mass density	10.12	g cm⁻³
DOS(E_F)	0.755	states/eV per atom



Which one is most stable, and which one is least stable? run 2 is the most stable of them, while run 1 is the least stable.



Run 1
YCrHg2 after structural relaxation. Source: the Alexandria database, functional PBE.

abc: 4.548 4.548 4.366
angles: 90.00 90.00 89.99
Site moments in Bohr magnetons follow the coordinates.
Fractional positions:
1 Cr 0.000 0.500 0.500  3.70
2 Hg 0.000 0.000 0.000  -0.03
3 Hg 0.500 0.500 0.000  -0.03
4 Y 0.500 0.000 0.500  -0.11

crystal system	tetragonal
mass density	9.97	g cm⁻³
DOS(E_F)	0.752	states/eV per atom



Run 2
YCrHg2 after structural relaxation. Source: the Alexandria database, functional PBE.

abc: 4.997 4.997 4.997
angles: 60.00 60.00 60.00
Site moments in Bohr magnetons follow the coordinates.
Fractional positions:
1 Cr 0.500 0.500 0.500  3.93
2 Hg 0.000 0.000 0.000  0.01
3 Hg 0.250 0.250 0.250  0.01
4 Y 0.750 0.750 0.750  0.23

crystal system	cubic
mass density	10.20	g cm⁻³
DOS(E_F)	0.333	states/eV per atom



Which one is most stable, and which one is least stable? run 1 is the most stable of them, while run 2 is the least stable.